No. 1
An optimized crystal structure of YScNi2, computed with GGA-PBE.

The total magnetization comes out at 0.000 μB per atom. For the formation energy, the calculation gives -0.19 eV/atom.

The space group is I-4m2 (No. 119) and the conventional cell measures 3.8620, 3.8620 and 9.5753 Å, with angles of 90.00, 90.00 and 90.00 degrees. The inequivalent atoms are Y at (0.0000, 0.0000, 0.0000), Sc at (0.0000, 0.5000, 0.2500), Ni at (0.0000, 0.0000, 0.5000) and Ni at (0.0000, 0.5000, 0.7500).

---

No. 2
An optimized crystal structure of YScNi, computed with GGA-PBE.

The total magnetization comes out at 0.000 μB per atom. For the formation energy, the calculation gives -0.11 eV/atom.

The space group is P3m1 (No. 156) and the conventional cell measures 4.3115, 4.3115 and 4.1540 Å, with angles of 90.00, 90.00 and 120.00 degrees. The inequivalent atoms are Y at (0.0000, 0.0000, 0.0000), Sc at (0.6667, 0.3333, 0.5016) and Ni at (0.3333, 0.6667, 0.3788).

---

No. 3
An optimized crystal structure of Y2ScNi2, computed with GGA-PBE.

The total magnetization comes out at 0.000 μB per atom. For the formation energy, the calculation gives -0.10 eV/atom.

The space group is I4/mmm (No. 139) and the conventional cell measures 5.3106, 5.3106 and 7.8726 Å, with angles of 90.00, 90.00 and 90.00 degrees. The inequivalent atoms are Y at (0.0000, 0.5000, 0.2500), Sc at (0.0000, 0.0000, 0.0000) and Ni at (0.0000, 0.0000, 0.3503).

---

No. 4
An optimized crystal structure of YSc3Ni, computed with GGA-PBE.

The total magnetization comes out at 0.000 μB per atom. For the formation energy, the calculation gives -0.08 eV/atom.

The space group is Pm-3m (No. 221) and the conventional cell measures 4.9805, 4.9805 and 4.9805 Å, with angles of 90.00, 90.00 and 90.00 degrees. The inequivalent atoms are Y at (0.0000, 0.0000, 0.0000), Sc at (0.0000, 0.5000, 0.5000) and Ni at (0.5000, 0.5000, 0.5000).

---

No. 5
An optimized crystal structure of YSc3Ni, computed with GGA-PBE.

The total magnetization comes out at 0.000 μB per atom. For the formation energy, the calculation gives 1.33 eV/atom.

The space group is Pm-3m (No. 221) and the conventional cell measures 5.0720, 5.0720 and 5.0720 Å, with angles of 90.00, 90.00 and 90.00 degrees. The inequivalent atoms are Y at (0.0000, 0.0000, 0.0000), Sc at (0.0000, 0.0000, 0.5000) and Ni at (0.5000, 0.5000, 0.5000).

---

No. 6
An optimized crystal structure of Y2ScNi2, computed with GGA-PBE.

The total magnetization comes out at 0.003 μB per atom. For the formation energy, the calculation gives -0.07 eV/atom.

The space group is P4/mbm (No. 127) and the conventional cell measures 8.0027, 8.0027 and 3.2000 Å, with angles of 90.00, 90.00 and 90.00 degrees. The inequivalent atoms are Y at (0.1431, 0.3569, 0.0000), Sc at (0.0000, 0.0000, 0.0000) and Ni at (0.1578, 0.6578, 0.5000).